Record 1
This record from the Alexandria database describes CdAg2HS at its PBEsol-relaxed geometry. The functional is SCAN.

The calculation puts the total energy at -0.7583 hartree per atom.

Cell: 4.645 4.645 5.342 Å, 90.00 90.00 90.00°
Fractional positions:
Cd1 0.000 0.000 0.500
Ag1 0.000 0.500 0.000
Ag2 0.500 0.000 0.000
S1 0.000 0.000 0.000
H1 0.500 0.500 0.500

Record 2
This record from the Alexandria database describes MgAgSe2 at its PBEsol-relaxed geometry. The functional is SCAN.

The calculation puts the total energy at -0.7163 hartree per atom. For the formation energy (no corrections), the calculation gives -35.5 kJ/mol of atoms.

Cell: 3.959 5.080 5.080 Å, 74.88 67.06 67.06°
Fractional positions:
Mg1 0.500 0.000 0.000
Se1 0.253 0.747 0.747
Se2 0.747 0.253 0.253
Ag1 0.000 0.500 0.500

Record 3
This record from the Alexandria database describes Sr4Bi6Se13 at its PBEsol-relaxed geometry. The functional is SCAN.

The calculation puts the total energy at -1.3504 hartree per atom. For the formation energy (no corrections), the calculation gives -98.9 kJ/mol of atoms.

Cell: 4.203 16.960 18.373 Å, 90.72 90.00 90.00°
Fractional positions:
Se1 0.250 0.896 0.964
Se2 0.750 0.894 0.763
Se3 0.250 0.783 0.640
Se4 0.250 0.357 0.236
Se5 0.250 0.477 0.912
Se6 0.750 0.700 0.444
Se7 0.750 0.523 0.088
Se8 0.250 0.067 0.485
Se9 0.250 0.080 0.821
Se10 0.750 0.933 0.515
Se11 0.250 0.300 0.556
Se12 0.750 0.104 0.036
Se13 0.250 0.877 0.334
Se14 0.250 0.541 0.589
Se15 0.250 0.106 0.237
Se16 0.750 0.920 0.179
Se17 0.750 0.217 0.360
Se18 0.750 0.123 0.666
Se19 0.750 0.643 0.764
Se20 0.750 0.383 0.723
Se21 0.750 0.696 0.936
Se22 0.250 0.617 0.277
Se23 0.250 0.304 0.064
Se24 0.750 0.459 0.411
Se25 0.250 0.734 0.128
Se26 0.750 0.266 0.872
Bi1 0.250 0.830 0.478
Bi2 0.750 0.991 0.883
Bi3 0.250 0.009 0.117
Bi4 0.750 0.393 0.984
Bi5 0.750 0.417 0.578
Bi6 0.750 0.812 0.047
Bi7 0.250 0.326 0.382
Bi8 0.250 0.607 0.016
Bi9 0.750 0.170 0.522
Bi10 0.750 0.674 0.618
Bi11 0.250 0.583 0.422
Bi12 0.250 0.188 0.953
Sr1 0.750 0.229 0.180
Sr2 0.250 0.243 0.730
Sr3 0.250 0.771 0.820
Sr4 0.750 0.015 0.340
Sr5 0.750 0.488 0.246
Sr6 0.250 0.985 0.660
Sr7 0.250 0.512 0.754
Sr8 0.750 0.757 0.270